DFT (PBE) results for a geometry-optimized RbZn2Te2 structure.

Formation energy without anion corrections = -475 meV per atom
Energy relative to the lowest polymorph listed for this composition = 0 meV/atom

The structure in POSCAR format:
```
RbZn2Te2
1.0
-4.456 0.855 1.664
-1.418 -4.348 -1.562
-1.149 -4.570 6.290
Rb Zn Te
1 2 2
direct
0.000 0.000 0.000
0.750 0.250 0.500
0.250 0.750 0.500
0.348 0.348 0.303
0.652 0.652 0.697
```

DFT (PBE) results for a geometry-optimized RbZnTe2 structure.

Formation energy without anion corrections = -450 meV per atom

The structure in POSCAR format:
```
RbZnTe2
1.0
-6.198 0.688 -2.129
-2.222 -2.630 5.619
-4.544 6.655 5.183
Te Rb Zn
4 2 2
direct
0.368 0.625 0.250
0.875 0.632 0.750
0.375 0.618 0.750
0.382 0.125 0.250
0.000 0.000 0.000
0.750 0.250 0.500
0.250 0.750 0.500
0.500 0.500 0.000
```

DFT (PBE) results for a geometry-optimized RbZn2Te2 structure.

Formation energy without anion corrections = -347 meV per atom
Energy relative to the lowest polymorph listed for this composition = 128 meV/atom

The structure in POSCAR format:
```
RbZn2Te2
1.0
-2.674 3.373 2.913
-3.444 -3.720 1.146
-0.147 -1.554 6.301
Rb Zn Te
1 2 2
direct
0.000 0.000 0.000
0.615 0.615 0.769
0.385 0.385 0.231
0.750 0.250 0.500
0.250 0.750 0.500
```

DFT (PBE) results for a geometry-optimized Rb2ZnTe structure.

Formation energy without anion corrections = -265 meV per atom
Energy relative to the lowest polymorph listed for this composition = 270 meV/atom

The structure in POSCAR format:
```
Rb2ZnTe
1.0
6.645 0.000 0.000
0.000 6.645 0.000
3.323 3.323 10.714
Rb Zn Te
4 2 2
direct
0.651 0.125 0.250
0.099 0.625 0.250
0.875 0.901 0.750
0.375 0.349 0.750
0.250 0.750 0.500
0.500 0.500 0.000
0.750 0.250 0.500
0.000 0.000 0.000
```